Entry 1:
Density functional theory data (PBE) for a relaxed PmPr2SmMg crystal.

Output
Raw total energy, eV/atom: -3.979
Energy of formation from the pure elements, kJ/mol of formula units: 70
Fermi-level density of states, states/eV/cell: 14.193
Density, Mg/m³: 6.0

Structure (CIF):
```
data_PmPr2SmMg
_chemical_formula_sum 'Pm2 Pr4 Sm2 Mg2'
_space_group_name_H-M_alt 'P m m a'
_space_group_IT_number 51
_cell_length_a 6.0849
_cell_length_b 7.4181
_cell_length_c 7.4244
_cell_angle_alpha 90.00
_cell_angle_beta 90.00
_cell_angle_gamma 90.00
loop_
_space_group_symop_operation_xyz
'x,y,z'
'-x,-y,-z'
'-x+1/2,-y,z'
'x+1/2,y,-z'
'x+1/2,-y,-z'
'-x+1/2,y,z'
'-x,y,-z'
'x,-y,z'
loop_
_atom_site_label
_atom_site_type_symbol
_atom_site_fract_x
_atom_site_fract_y
_atom_site_fract_z
Pm1 Pm 0.2500 0.0000 0.1530
Pr1 Pr 0.2500 0.2176 0.6869
Sm1 Sm 0.2500 0.5000 0.3704
Mg1 Mg 0.0000 0.5000 0.0000
```


Entry 2:
Density functional theory data (PBE) for a relaxed PrIn2I6 crystal.

Output
Raw total energy, eV/atom: -3.001
E_form (uncorrected), eV per atom: -0.83
Fermi-level density of states, states/eV/cell: 8.201
Density, Mg/m³: 4.4

Structure (CIF):
```
data_PrIn2I6
_chemical_formula_sum 'Pr4 In8 I24'
_space_group_name_H-M_alt 'C 1 2/c 1'
_space_group_IT_number 15
_cell_length_a 11.2464
_cell_length_b 15.9784
_cell_length_c 10.1266
_cell_angle_alpha 90.00
_cell_angle_beta 111.48
_cell_angle_gamma 90.00
loop_
_space_group_symop_operation_xyz
'x,y,z'
'-x,-y,-z'
'-x,y,-z+1/2'
'x,-y,z+1/2'
'x+1/2,y+1/2,z'
'-x+1/2,-y+1/2,-z'
'-x+1/2,y+1/2,-z+1/2'
'x+1/2,-y+1/2,z+1/2'
loop_
_atom_site_label
_atom_site_type_symbol
_atom_site_fract_x
_atom_site_fract_y
_atom_site_fract_z
Pr1 Pr 0.0000 0.0515 0.2500
In1 In 0.1487 0.3882 0.2949
I1 I 0.0508 0.1121 0.5789
I2 I 0.1987 0.2006 0.2803
I3 I 0.2004 0.4789 0.0528
```


Entry 3:
Density functional theory data (PBE) for a relaxed PmPtAu3 crystal.

Output
Raw total energy, eV/atom: -4.685
Energy of formation from the pure elements, kJ/mol of formula units: -271
Fermi-level density of states, states/eV/cell: 3.879
Energy above the most stable polymorph in this dataset, eV per atom: 0.000
Density, Mg/m³: 15.5

Structure (CIF):
```
data_PmPtAu3
_chemical_formula_sum 'Pm2 Pt2 Au6'
_space_group_name_H-M_alt 'P 1 21/m 1'
_space_group_IT_number 11
_cell_length_a 6.6577
_cell_length_b 4.3645
_cell_length_c 6.8654
_cell_angle_alpha 90.00
_cell_angle_beta 91.37
_cell_angle_gamma 90.00
loop_
_space_group_symop_operation_xyz
'x,y,z'
'-x,-y,-z'
'-x,y+1/2,-z'
'x,-y+1/2,z'
loop_
_atom_site_label
_atom_site_type_symbol
_atom_site_fract_x
_atom_site_fract_y
_atom_site_fract_z
Pm1 Pm 0.2425 0.2500 0.2433
Pt1 Pt 0.0478 0.2500 0.8450
Au1 Au 0.1591 0.7500 0.5527
Au2 Au 0.3336 0.7500 0.9463
Au3 Au 0.4350 0.2500 0.6651
```


Entry 4:
Density functional theory data (PBE) for a relaxed AcLuGePt crystal.

Output
Raw total energy, eV/atom: -5.612
Energy of formation from the pure elements, kJ/mol of formula units: -305
Fermi-level density of states, states/eV/cell: 3.353
Density, Mg/m³: 11.2

Structure (CIF):
```
data_AcLuGePt
_chemical_formula_sum 'Ac4 Lu4 Ge4 Pt4'
_space_group_name_H-M_alt 'F -4 3 m'
_space_group_IT_number 216
_space_group_name_Hall 'F -4 2 3'
_cell_length_a 7.3566
_cell_length_b 7.3566
_cell_length_c 7.3566
_cell_angle_alpha 90.00
_cell_angle_beta 90.00
_cell_angle_gamma 90.00
loop_
_atom_site_label
_atom_site_type_symbol
_atom_site_fract_x
_atom_site_fract_y
_atom_site_fract_z
Ac1 Ac 0.0000 0.0000 0.0000
Lu1 Lu 0.0000 0.0000 0.5000
Ge1 Ge 0.2500 0.2500 0.7500
Pt1 Pt 0.2500 0.2500 0.2500
```


Entry 5:
Density functional theory data (PBE) for a relaxed CsSmS2O8 crystal.

Output
Raw total energy, eV/atom: -6.548
E_form (uncorrected), eV per atom: -2.09
Fermi-level density of states, states/eV/cell: 0.000
Density, Mg/m³: 3.4

Structure (CIF):
```
data_CsSmS2O8
_chemical_formula_sum 'Cs1 Sm1 S2 O8'
_space_group_name_H-M_alt 'P -3'
_space_group_IT_number 147
_cell_length_a 5.4960
_cell_length_b 5.4960
_cell_length_c 8.9066
_cell_angle_alpha 90.00
_cell_angle_beta 90.00
_cell_angle_gamma 120.00
loop_
_space_group_symop_operation_xyz
'x,y,z'
'-x,-y,-z'
'-y,x-y,z'
'y,-x+y,-z'
'-x+y,-x,z'
'x-y,x,-z'
loop_
_atom_site_label
_atom_site_type_symbol
_atom_site_fract_x
_atom_site_fract_y
_atom_site_fract_z
Cs1 Cs 0.0000 0.0000 0.0000
Sm1 Sm 0.0000 0.0000 0.5000
S1 S 0.3333 0.6667 0.7183
O1 O 0.1350 0.3792 0.6586
O2 O 0.3333 0.6667 0.8821
```


Entry 6:
Density functional theory data (PBE) for a relaxed Cs3K3MnBr8 crystal.

Output
Raw total energy, eV/atom: -3.450
E_form (uncorrected), eV per atom: -1.56
Fermi-level density of states, states/eV/cell: 0.000
Density, Mg/m³: 3.1

Structure (CIF):
```
data_Cs3K3MnBr8
_chemical_formula_sum 'Cs9 K9 Mn3 Br24'
_space_group_name_H-M_alt 'R -3 m'
_space_group_IT_number 166
_space_group_name_Hall '-R 3 2"'
_cell_length_a 9.5450
_cell_length_b 9.5450
_cell_length_c 24.8597
_cell_angle_alpha 90.00
_cell_angle_beta 90.00
_cell_angle_gamma 120.00
loop_
_atom_site_label
_atom_site_type_symbol
_atom_site_fract_x
_atom_site_fract_y
_atom_site_fract_z
Cs1 Cs 0.0000 0.5000 0.0000
K1 K 0.0000 0.5000 0.5000
Mn1 Mn 0.0000 0.0000 0.5000
Br1 Br 0.0000 0.0000 0.2407
Br2 Br 0.0565 0.5282 0.2295
```